Below is an optimized crystal structure of Fe2OsPt, with properties calculated at the PBEsol level.

Summary:
M_tot = 3.88 μB per cell
Density of states at the Fermi level = 2.8 states/eV/f.u.
E_form = 0.0 eV per formula unit

Structure (CIF):
```
data_Fe2OsPt
_chemical_formula_sum 'Fe2 Os1 Pt1'
_symmetry_space_group_name_H-M 'P 4/m m m'
_symmetry_Int_Tables_number 123
_symmetry_space_group_name_Hall '-P 4 2'
_cell_length_a 2.639
_cell_length_b 2.639
_cell_length_c 7.292
_cell_angle_alpha 90.00
_cell_angle_beta 90.00
_cell_angle_gamma 90.00
loop_
_atom_site_label
_atom_site_type_symbol
_atom_site_fract_x
_atom_site_fract_y
_atom_site_fract_z
_atom_site_occupancy
Fe1 Fe 0.000 0.000 0.242 1
Os1 Os 0.500 0.500 0.000 1
Pt1 Pt 0.500 0.500 0.500 1
```